Entry 1:
# CaAl6Ir (PBE, relaxed)
data_CaAl6Ir
_cell_length_a 4.2371
_cell_length_b 4.2371
_cell_length_c 8.6870
_cell_angle_alpha 90.00
_cell_angle_beta 90.00
_cell_angle_gamma 90.00
_symmetry_space_group_name_H-M 'P 1'
_symmetry_Int_Tables_number 1
loop_
_symmetry_equiv_pos_as_xyz
'x,y,z'
loop_
_atom_site_label
_atom_site_type_symbol
_atom_site_fract_x
_atom_site_fract_y
_atom_site_fract_z
_atom_site_occupancy
Ca1 Ca 0.0000 0.0000 0.0000 1
Al1 Al 0.0000 0.5000 0.3382 1
Al2 Al 0.0000 0.5000 0.6618 1
Al3 Al 0.5000 0.0000 0.3382 1
Al4 Al 0.5000 0.0000 0.6618 1
Al5 Al 0.5000 0.5000 0.1457 1
Al6 Al 0.5000 0.5000 0.8543 1
Ir1 Ir 0.0000 0.0000 0.5000 1
# E above lowest polymorph   0.0 meV/atom
# ΔE_f   -0.414 eV per atom
# Symmetry   P4/mmm, No. 123

Entry 2:
# Ca2AlIr (PBE, relaxed)
data_Ca2AlIr
_cell_length_a 3.4151
_cell_length_b 3.7782
_cell_length_c 6.9194
_cell_angle_alpha 90.00
_cell_angle_beta 90.00
_cell_angle_gamma 90.00
_symmetry_space_group_name_H-M 'P 1'
_symmetry_Int_Tables_number 1
loop_
_symmetry_equiv_pos_as_xyz
'x,y,z'
loop_
_atom_site_label
_atom_site_type_symbol
_atom_site_fract_x
_atom_site_fract_y
_atom_site_fract_z
_atom_site_occupancy
Ca1 Ca 0.0000 0.0000 0.2259 1
Ca2 Ca 0.0000 0.0000 0.7741 1
Al1 Al 0.5000 0.5000 0.5000 1
Ir1 Ir 0.5000 0.5000 0.0000 1
# ΔE_f   -0.162 eV per atom
# Symmetry   Pmmm, No. 47

Entry 3:
# CaAl3Ir2 (PBE, relaxed)
data_CaAl3Ir2
_cell_length_a 5.5326
_cell_length_b 5.5326
_cell_length_c 4.0186
_cell_angle_alpha 90.00
_cell_angle_beta 90.00
_cell_angle_gamma 120.00
_symmetry_space_group_name_H-M 'P 1'
_symmetry_Int_Tables_number 1
loop_
_symmetry_equiv_pos_as_xyz
'x,y,z'
loop_
_atom_site_label
_atom_site_type_symbol
_atom_site_fract_x
_atom_site_fract_y
_atom_site_fract_z
_atom_site_occupancy
Ca1 Ca 0.0000 0.0000 0.0000 1
Al1 Al 0.0000 0.5000 0.5000 1
Al2 Al 0.5000 0.0000 0.5000 1
Al3 Al 0.5000 0.5000 0.5000 1
Ir1 Ir 0.3333 0.6667 0.0000 1
Ir2 Ir 0.6667 0.3333 0.0000 1
# ΔE_f   -0.682 eV per atom
# Symmetry   P6/mmm, No. 191

Entry 4:
# CaAl4Ir2 (PBE, relaxed)
data_CaAl4Ir2
_cell_length_a 17.0875
_cell_length_b 4.2895
_cell_length_c 6.7080
_cell_angle_alpha 90.00
_cell_angle_beta 90.00
_cell_angle_gamma 90.00
_symmetry_space_group_name_H-M 'P 1'
_symmetry_Int_Tables_number 1
loop_
_symmetry_equiv_pos_as_xyz
'x,y,z'
loop_
_atom_site_label
_atom_site_type_symbol
_atom_site_fract_x
_atom_site_fract_y
_atom_site_fract_z
_atom_site_occupancy
Ca1 Ca 0.1429 0.2500 0.0335 1
Ca2 Ca 0.3571 0.7500 0.5335 1
Ca3 Ca 0.6429 0.2500 0.4665 1
Ca4 Ca 0.8571 0.7500 0.9665 1
Al1 Al 0.0310 0.7500 0.8608 1
Al2 Al 0.0675 0.2500 0.4884 1
Al3 Al 0.1840 0.7500 0.3483 1
Al4 Al 0.2000 0.7500 0.7523 1
Al5 Al 0.3000 0.2500 0.2523 1
Al6 Al 0.3160 0.2500 0.8483 1
Al7 Al 0.4325 0.7500 0.9884 1
Al8 Al 0.4690 0.2500 0.3608 1
Al9 Al 0.5310 0.7500 0.6392 1
Al10 Al 0.5675 0.2500 0.0116 1
Al11 Al 0.6840 0.7500 0.1517 1
Al12 Al 0.7000 0.7500 0.7477 1
Al13 Al 0.8000 0.2500 0.2477 1
Al14 Al 0.8160 0.2500 0.6517 1
Al15 Al 0.9325 0.7500 0.5116 1
Al16 Al 0.9690 0.2500 0.1392 1
Ir1 Ir 0.0373 0.7500 0.2486 1
Ir2 Ir 0.2131 0.2500 0.5557 1
Ir3 Ir 0.2869 0.7500 0.0557 1
Ir4 Ir 0.4627 0.2500 0.7486 1
Ir5 Ir 0.5373 0.7500 0.2514 1
Ir6 Ir 0.7131 0.2500 0.9443 1
Ir7 Ir 0.7869 0.7500 0.4443 1
Ir8 Ir 0.9627 0.2500 0.7514 1
# ΔE_f   -0.686 eV per atom
# Symmetry   Pnma, No. 62

Entry 5:
# Ca2Al9Ir3 (PBE, relaxed)
data_Ca2Al9Ir3
_cell_length_a 7.5718
_cell_length_b 7.5718
_cell_length_c 10.6251
_cell_angle_alpha 110.82
_cell_angle_beta 110.82
_cell_angle_gamma 59.65
_symmetry_space_group_name_H-M 'P 1'
_symmetry_Int_Tables_number 1
loop_
_symmetry_equiv_pos_as_xyz
'x,y,z'
loop_
_atom_site_label
_atom_site_type_symbol
_atom_site_fract_x
_atom_site_fract_y
_atom_site_fract_z
_atom_site_occupancy
Ca1 Ca 0.0859 0.2516 0.2492 1
Ca2 Ca 0.2516 0.0859 0.7492 1
Ca3 Ca 0.7484 0.9141 0.2508 1
Ca4 Ca 0.9141 0.7484 0.7508 1
Al1 Al 0.0260 0.8544 0.0713 1
Al2 Al 0.1456 0.9740 0.4287 1
Al3 Al 0.1920 0.3568 0.5674 1
Al4 Al 0.2110 0.5818 0.2517 1
Al5 Al 0.3169 0.4836 0.9461 1
Al6 Al 0.3568 0.1920 0.0674 1
Al7 Al 0.3700 0.6300 0.7500 1
Al8 Al 0.4182 0.7890 0.2483 1
Al9 Al 0.4836 0.3169 0.4461 1
Al10 Al 0.5164 0.6831 0.5539 1
Al11 Al 0.5818 0.2110 0.7517 1
Al12 Al 0.6300 0.3700 0.2500 1
Al13 Al 0.6432 0.8080 0.9326 1
Al14 Al 0.6831 0.5164 0.0539 1
Al15 Al 0.7890 0.4182 0.7483 1
Al16 Al 0.8080 0.6432 0.4326 1
Al17 Al 0.8544 0.0260 0.5713 1
Al18 Al 0.9740 0.1456 0.9287 1
Ir1 Ir 0.0000 0.5000 0.0000 1
Ir2 Ir 0.1564 0.6718 0.4995 1
Ir3 Ir 0.3282 0.8436 0.0005 1
Ir4 Ir 0.5000 0.0000 0.5000 1
Ir5 Ir 0.6718 0.1564 0.9995 1
Ir6 Ir 0.8436 0.3282 0.5005 1
# ΔE_f   -0.737 eV per atom
# Symmetry   C2/c, No. 15

Entry 6:
# Ca2Al12Ir7 (PBE, relaxed)
data_Ca2Al12Ir7
_cell_length_a 9.9194
_cell_length_b 9.9194
_cell_length_c 4.0979
_cell_angle_alpha 90.00
_cell_angle_beta 90.00
_cell_angle_gamma 120.00
_symmetry_space_group_name_H-M 'P 1'
_symmetry_Int_Tables_number 1
loop_
_symmetry_equiv_pos_as_xyz
'x,y,z'
loop_
_atom_site_label
_atom_site_type_symbol
_atom_site_fract_x
_atom_site_fract_y
_atom_site_fract_z
_atom_site_occupancy
Ca1 Ca 0.0000 0.0000 0.0000 1
Ca2 Ca 0.3333 0.6667 0.5000 1
Al1 Al 0.0142 0.2779 0.5000 1
Al2 Al 0.1621 0.7639 0.0000 1
Al3 Al 0.2361 0.3981 0.0000 1
Al4 Al 0.2637 0.9858 0.5000 1
Al5 Al 0.3788 0.2082 0.0000 1
Al6 Al 0.5525 0.4129 0.5000 1
Al7 Al 0.5871 0.1397 0.5000 1
Al8 Al 0.6019 0.8379 0.0000 1
Al9 Al 0.7221 0.7363 0.5000 1
Al10 Al 0.7918 0.1706 0.0000 1
Al11 Al 0.8294 0.6212 0.0000 1
Al12 Al 0.8603 0.4475 0.5000 1
Ir1 Ir 0.0193 0.4598 0.0000 1
Ir2 Ir 0.2599 0.2539 0.5000 1
Ir3 Ir 0.4405 0.9807 0.0000 1
Ir4 Ir 0.5402 0.5595 0.0000 1
Ir5 Ir 0.6667 0.3333 0.0000 1
Ir6 Ir 0.7461 0.0060 0.5000 1
Ir7 Ir 0.9940 0.7401 0.5000 1
# ΔE_f   -0.779 eV per atom
# Symmetry   P-6, No. 174

Entry 7:
# CaAl6Ir (PBE, relaxed)
data_CaAl6Ir
_cell_length_a 4.6152
_cell_length_b 4.6152
_cell_length_c 8.9660
_cell_angle_alpha 92.33
_cell_angle_beta 92.33
_cell_angle_gamma 56.16
_symmetry_space_group_name_H-M 'P 1'
_symmetry_Int_Tables_number 1
loop_
_symmetry_equiv_pos_as_xyz
'x,y,z'
loop_
_atom_site_label
_atom_site_type_symbol
_atom_site_fract_x
_atom_site_fract_y
_atom_site_fract_z
_atom_site_occupancy
Ca1 Ca 0.0000 0.0000 0.0000 1
Al1 Al 0.1583 0.1583 0.4594 1
Al2 Al 0.3409 0.3409 0.7554 1
Al3 Al 0.3479 0.3479 0.2279 1
Al4 Al 0.6521 0.6521 0.7721 1
Al5 Al 0.6591 0.6591 0.2446 1
Al6 Al 0.8417 0.8417 0.5406 1
Ir1 Ir 0.5000 0.5000 0.5000 1
# E above lowest polymorph   60.3 meV/atom
# ΔE_f   -0.354 eV per atom
# Symmetry   C2/m, No. 12

Entry 8:
# Ca3Al8Ir3 (PBE, relaxed)
data_Ca3Al8Ir3
_cell_length_a 8.2537
_cell_length_b 8.2537
_cell_length_c 8.9031
_cell_angle_alpha 122.29
_cell_angle_beta 122.29
_cell_angle_gamma 31.08
_symmetry_space_group_name_H-M 'P 1'
_symmetry_Int_Tables_number 1
loop_
_symmetry_equiv_pos_as_xyz
'x,y,z'
loop_
_atom_site_label
_atom_site_type_symbol
_atom_site_fract_x
_atom_site_fract_y
_atom_site_fract_z
_atom_site_occupancy
Ca1 Ca 0.0000 0.0000 0.0000 1
Ca2 Ca 0.2856 0.2856 0.2942 1
Ca3 Ca 0.7144 0.7144 0.7058 1
Al1 Al 0.1319 0.1319 0.4249 1
Al2 Al 0.1415 0.1415 0.8469 1
Al3 Al 0.3491 0.3491 0.7309 1
Al4 Al 0.4922 0.4922 0.3251 1
Al5 Al 0.5078 0.5078 0.6749 1
Al6 Al 0.6509 0.6509 0.2691 1
Al7 Al 0.8585 0.8585 0.1531 1
Al8 Al 0.8681 0.8681 0.5751 1
Ir1 Ir 0.0000 0.0000 0.5000 1
Ir2 Ir 0.3342 0.3342 0.9984 1
Ir3 Ir 0.6658 0.6658 0.0016 1
# ΔE_f   -0.590 eV per atom
# Symmetry   C2/m, No. 12

Entry 9:
# LiCaAlIr (PBE, relaxed)
data_LiCaAlIr
_cell_length_a 4.6212
_cell_length_b 4.6212
_cell_length_c 4.6212
_cell_angle_alpha 60.00
_cell_angle_beta 60.00
_cell_angle_gamma 60.00
_symmetry_space_group_name_H-M 'P 1'
_symmetry_Int_Tables_number 1
loop_
_symmetry_equiv_pos_as_xyz
'x,y,z'
loop_
_atom_site_label
_atom_site_type_symbol
_atom_site_fract_x
_atom_site_fract_y
_atom_site_fract_z
_atom_site_occupancy
Li1 Li 0.0000 0.0000 0.0000 1
Ca1 Ca 0.2500 0.2500 0.2500 1
Al1 Al 0.7500 0.7500 0.7500 1
Ir1 Ir 0.5000 0.5000 0.5000 1
# ΔE_f   -0.359 eV per atom
# Symmetry   F-43m, No. 216

Entry 10:
# Ca2MgAlIr (PBE, relaxed)
data_Ca2MgAlIr
_cell_length_a 5.5181
_cell_length_b 5.5181
_cell_length_c 4.7977
_cell_angle_alpha 90.00
_cell_angle_beta 90.00
_cell_angle_gamma 90.00
_symmetry_space_group_name_H-M 'P 1'
_symmetry_Int_Tables_number 1
loop_
_symmetry_equiv_pos_as_xyz
'x,y,z'
loop_
_atom_site_label
_atom_site_type_symbol
_atom_site_fract_x
_atom_site_fract_y
_atom_site_fract_z
_atom_site_occupancy
Ca1 Ca 0.0000 0.5000 0.0000 1
Ca2 Ca 0.5000 0.0000 0.0000 1
Mg1 Mg 0.0000 0.0000 0.5000 1
Al1 Al 0.5000 0.5000 0.5000 1
Ir1 Ir 0.5000 0.5000 0.0000 1
# ΔE_f   -0.189 eV per atom
# Symmetry   P4/mmm, No. 123

Entry 11:
# CaMg2AlIr (PBE, relaxed)
data_CaMg2AlIr
_cell_length_a 5.0231
_cell_length_b 5.0231
_cell_length_c 4.7812
_cell_angle_alpha 90.00
_cell_angle_beta 90.00
_cell_angle_gamma 90.00
_symmetry_space_group_name_H-M 'P 1'
_symmetry_Int_Tables_number 1
loop_
_symmetry_equiv_pos_as_xyz
'x,y,z'
loop_
_atom_site_label
_atom_site_type_symbol
_atom_site_fract_x
_atom_site_fract_y
_atom_site_fract_z
_atom_site_occupancy
Ca1 Ca 0.0000 0.0000 0.0000 1
Mg1 Mg 0.0000 0.5000 0.5000 1
Mg2 Mg 0.5000 0.0000 0.5000 1
Al1 Al 0.5000 0.5000 0.0000 1
Ir1 Ir 0.5000 0.5000 0.5000 1
# ΔE_f   -0.292 eV per atom
# Symmetry   P4/mmm, No. 123

Entry 12:
# NaCa2AlIr (PBE, relaxed)
data_NaCa2AlIr
_cell_length_a 5.5735
_cell_length_b 5.5735
_cell_length_c 4.8306
_cell_angle_alpha 90.00
_cell_angle_beta 90.00
_cell_angle_gamma 90.00
_symmetry_space_group_name_H-M 'P 1'
_symmetry_Int_Tables_number 1
loop_
_symmetry_equiv_pos_as_xyz
'x,y,z'
loop_
_atom_site_label
_atom_site_type_symbol
_atom_site_fract_x
_atom_site_fract_y
_atom_site_fract_z
_atom_site_occupancy
Na1 Na 0.0000 0.0000 0.0000 1
Ca1 Ca 0.0000 0.5000 0.5000 1
Ca2 Ca 0.5000 0.0000 0.5000 1
Al1 Al 0.5000 0.5000 0.0000 1
Ir1 Ir 0.5000 0.5000 0.5000 1
# ΔE_f   -0.254 eV per atom
# Symmetry   P4/mmm, No. 123

Entry 13:
# CaAl4IrPd2 (PBE, relaxed)
data_CaAl4IrPd2
_cell_length_a 9.4570
_cell_length_b 9.4570
_cell_length_c 9.4570
_cell_angle_alpha 26.08
_cell_angle_beta 26.08
_cell_angle_gamma 26.08
_symmetry_space_group_name_H-M 'P 1'
_symmetry_Int_Tables_number 1
loop_
_symmetry_equiv_pos_as_xyz
'x,y,z'
loop_
_atom_site_label
_atom_site_type_symbol
_atom_site_fract_x
_atom_site_fract_y
_atom_site_fract_z
_atom_site_occupancy
Ca1 Ca 0.0000 0.0000 0.0000 1
Al1 Al 0.1361 0.1361 0.1361 1
Al2 Al 0.4066 0.4066 0.4066 1
Al3 Al 0.5934 0.5934 0.5934 1
Al4 Al 0.8639 0.8639 0.8639 1
Ir1 Ir 0.5000 0.5000 0.5000 1
Pd1 Pd 0.2342 0.2342 0.2342 1
Pd2 Pd 0.7658 0.7658 0.7658 1
# ΔE_f   -0.704 eV per atom
# Symmetry   R-3m, No. 166

Entry 14:
# CaAl4Ir2Pt (PBE, relaxed)
data_CaAl4Ir2Pt
_cell_length_a 9.2583
_cell_length_b 9.2583
_cell_length_c 9.2583
_cell_angle_alpha 26.56
_cell_angle_beta 26.56
_cell_angle_gamma 26.56
_symmetry_space_group_name_H-M 'P 1'
_symmetry_Int_Tables_number 1
loop_
_symmetry_equiv_pos_as_xyz
'x,y,z'
loop_
_atom_site_label
_atom_site_type_symbol
_atom_site_fract_x
_atom_site_fract_y
_atom_site_fract_z
_atom_site_occupancy
Ca1 Ca 0.0000 0.0000 0.0000 1
Al1 Al 0.1307 0.1307 0.1307 1
Al2 Al 0.4049 0.4049 0.4049 1
Al3 Al 0.5951 0.5951 0.5951 1
Al4 Al 0.8693 0.8693 0.8693 1
Ir1 Ir 0.2326 0.2326 0.2326 1
Ir2 Ir 0.7674 0.7674 0.7674 1
Pt1 Pt 0.5000 0.5000 0.5000 1
# ΔE_f   -0.735 eV per atom
# Symmetry   R-3m, No. 166

Entry 15:
# CaAl4IrPt2 (PBE, relaxed)
data_CaAl4IrPt2
_cell_length_a 9.4025
_cell_length_b 9.4025
_cell_length_c 9.4025
_cell_angle_alpha 26.20
_cell_angle_beta 26.20
_cell_angle_gamma 26.20
_symmetry_space_group_name_H-M 'P 1'
_symmetry_Int_Tables_number 1
loop_
_symmetry_equiv_pos_as_xyz
'x,y,z'
loop_
_atom_site_label
_atom_site_type_symbol
_atom_site_fract_x
_atom_site_fract_y
_atom_site_fract_z
_atom_site_occupancy
Ca1 Ca 0.0000 0.0000 0.0000 1
Al1 Al 0.1348 0.1348 0.1348 1
Al2 Al 0.4058 0.4058 0.4058 1
Al3 Al 0.5942 0.5942 0.5942 1
Al4 Al 0.8652 0.8652 0.8652 1
Ir1 Ir 0.5000 0.5000 0.5000 1
Pt1 Pt 0.2338 0.2338 0.2338 1
Pt2 Pt 0.7662 0.7662 0.7662 1
# ΔE_f   -0.813 eV per atom
# Symmetry   R-3m, No. 166

Entry 16:
# RbCa2AlIr (PBE, relaxed)
data_RbCa2AlIr
_cell_length_a 5.6812
_cell_length_b 5.6812
_cell_length_c 4.9470
_cell_angle_alpha 90.00
_cell_angle_beta 90.00
_cell_angle_gamma 90.00
_symmetry_space_group_name_H-M 'P 1'
_symmetry_Int_Tables_number 1
loop_
_symmetry_equiv_pos_as_xyz
'x,y,z'
loop_
_atom_site_label
_atom_site_type_symbol
_atom_site_fract_x
_atom_site_fract_y
_atom_site_fract_z
_atom_site_occupancy
Rb1 Rb 0.0000 0.0000 0.0000 1
Ca1 Ca 0.0000 0.5000 0.5000 1
Ca2 Ca 0.5000 0.0000 0.5000 1
Al1 Al 0.5000 0.5000 0.0000 1
Ir1 Ir 0.5000 0.5000 0.5000 1
# ΔE_f   -0.174 eV per atom
# Symmetry   P4/mmm, No. 123

Entry 17:
# CaAl4Ir2Rh (PBE, relaxed)
data_CaAl4Ir2Rh
_cell_length_a 9.0681
_cell_length_b 9.0681
_cell_length_c 9.0681
_cell_angle_alpha 27.01
_cell_angle_beta 27.01
_cell_angle_gamma 27.01
_symmetry_space_group_name_H-M 'P 1'
_symmetry_Int_Tables_number 1
loop_
_symmetry_equiv_pos_as_xyz
'x,y,z'
loop_
_atom_site_label
_atom_site_type_symbol
_atom_site_fract_x
_atom_site_fract_y
_atom_site_fract_z
_atom_site_occupancy
Ca1 Ca 0.0000 0.0000 0.0000 1
Al1 Al 0.1326 0.1326 0.1326 1
Al2 Al 0.4058 0.4058 0.4058 1
Al3 Al 0.5942 0.5942 0.5942 1
Al4 Al 0.8674 0.8674 0.8674 1
Ir1 Ir 0.2362 0.2362 0.2362 1
Ir2 Ir 0.7638 0.7638 0.7638 1
Rh1 Rh 0.5000 0.5000 0.5000 1
# ΔE_f   -0.806 eV per atom
# Symmetry   R-3m, No. 166

Entry 18:
# CaAl4IrRh2 (PBE, relaxed)
data_CaAl4IrRh2
_cell_length_a 9.2608
_cell_length_b 9.2608
_cell_length_c 9.2608
_cell_angle_alpha 26.33
_cell_angle_beta 26.33
_cell_angle_gamma 26.33
_symmetry_space_group_name_H-M 'P 1'
_symmetry_Int_Tables_number 1
loop_
_symmetry_equiv_pos_as_xyz
'x,y,z'
loop_
_atom_site_label
_atom_site_type_symbol
_atom_site_fract_x
_atom_site_fract_y
_atom_site_fract_z
_atom_site_occupancy
Ca1 Ca 0.0000 0.0000 0.0000 1
Al1 Al 0.1333 0.1333 0.1333 1
Al2 Al 0.4067 0.4067 0.4067 1
Al3 Al 0.5933 0.5933 0.5933 1
Al4 Al 0.8667 0.8667 0.8667 1
Ir1 Ir 0.5000 0.5000 0.5000 1
Rh1 Rh 0.2344 0.2344 0.2344 1
Rh2 Rh 0.7656 0.7656 0.7656 1
# ΔE_f   -0.788 eV per atom
# Symmetry   R-3m, No. 166

Entry 19:
# CaAlIrS2 (PBE, relaxed)
data_CaAlIrS2
_cell_length_a 4.9703
_cell_length_b 4.9703
_cell_length_c 4.5309
_cell_angle_alpha 90.00
_cell_angle_beta 90.00
_cell_angle_gamma 90.00
_symmetry_space_group_name_H-M 'P 1'
_symmetry_Int_Tables_number 1
loop_
_symmetry_equiv_pos_as_xyz
'x,y,z'
loop_
_atom_site_label
_atom_site_type_symbol
_atom_site_fract_x
_atom_site_fract_y
_atom_site_fract_z
_atom_site_occupancy
Ca1 Ca 0.0000 0.0000 0.0000 1
Al1 Al 0.5000 0.5000 0.0000 1
Ir1 Ir 0.5000 0.5000 0.5000 1
S1 S 0.0000 0.5000 0.5000 1
S2 S 0.5000 0.0000 0.5000 1
# ΔE_f (raw)   -5.7 kcal/mol of atoms
# Symmetry   P4/mmm, No. 123

Entry 20:
# CaAlSi2Ir (PBE, relaxed)
data_CaAlSi2Ir
_cell_length_a 6.0545
_cell_length_b 6.0545
_cell_length_c 6.0545
_cell_angle_alpha 141.48
_cell_angle_beta 141.48
_cell_angle_gamma 55.62
_symmetry_space_group_name_H-M 'P 1'
_symmetry_Int_Tables_number 1
loop_
_symmetry_equiv_pos_as_xyz
'x,y,z'
loop_
_atom_site_label
_atom_site_type_symbol
_atom_site_fract_x
_atom_site_fract_y
_atom_site_fract_z
_atom_site_occupancy
Ca1 Ca 0.0000 0.0000 0.0000 1
Al1 Al 0.2500 0.7500 0.5000 1
Si1 Si 0.3880 0.3880 0.0000 1
Si2 Si 0.6120 0.6120 0.0000 1
Ir1 Ir 0.7500 0.2500 0.5000 1
# ΔE_f (raw)   -14.8 kcal/mol of atoms
# Symmetry   I-4m2, No. 119